# HgOsI2N | Alexandria | PBE-GGA | relaxed
# - ΔE to the lowest computed polymorph (meV/atom) = 0
# - uncorrected formation energy (meV/atom) = 421
# - calculated density (g cm⁻³) = 9.01
# - V (Å³/cell) = 121
# - calculated total energy (eV/atom) = -4.1706
# - magnetization (μB per formula unit) = 0.0
data_HgOsI2N
_cell_length_a 5.685
_cell_length_b 5.685
_cell_length_c 3.756
_cell_angle_alpha 90.00
_cell_angle_beta 90.00
_cell_angle_gamma 90.00
_space_group_name_H-M_alt 'P 4/m m m'
_space_group_IT_number 123
_space_group_name_Hall '-P 4 2'
loop_
_atom_site_label
_atom_site_type_symbol
_atom_site_fract_x
_atom_site_fract_y
_atom_site_fract_z
_atom_site_occupancy
Hg1 Hg 0.000 0.000 0.000 1
Os1 Os 0.500 0.500 0.500 1
I1 I 0.000 0.500 0.500 1
N1 N 0.500 0.500 0.000 1